Computed, not measured: a relaxed SrLa4Nd3Te8 crystal at the GGA-PBE level of DFT.

Output
- E (hartree per atom) = -0.1961
- total magnetization (μB/f.u.) = 0.000

Cell lengths 9.141, 9.116, 9.139 Å; angles 120.07, 120.01, 90.00 degrees
Sites, in units of the cell vectors:
Te 0.746 0.747 0.997
La 0.500 0.000 0.500
Te 0.254 0.253 0.003
Nd 0.500 0.500 0.500
Nd 0.500 0.500 0.000
La 0.000 0.000 0.000
Te 0.748 0.746 0.497
Te 0.252 0.254 0.503
La 0.500 0.000 0.000
Nd 0.000 0.500 0.500
Te 0.750 0.253 0.003
La 0.000 0.000 0.500
Te 0.749 0.253 0.499
Te 0.251 0.747 0.501
Te 0.250 0.747 0.997
Sr 0.000 0.500 0.000

Computed, not measured: a relaxed Sr3LaNd2Te6 crystal at the GGA-PBE level of DFT.

Output
- E (hartree per atom) = -0.1756
- total magnetization (μB/f.u.) = 0.000

Cell lengths 7.931, 7.931, 8.126 Å; angles 99.38, 99.38, 119.95 degrees
Sites, in units of the cell vectors:
Sr 0.834 0.166 0.500
Te 0.745 0.745 0.242
Sr 0.166 0.834 0.500
Te 0.417 0.081 0.243
Te 0.255 0.255 0.758
La 0.000 0.000 0.000
Nd 0.666 0.334 0.000
Te 0.919 0.583 0.757
Te 0.583 0.919 0.757
Sr 0.500 0.500 0.500
Nd 0.334 0.666 0.000
Te 0.081 0.417 0.243

Computed, not measured: a relaxed SrLaNdTl crystal at the GGA-PBE level of DFT.

Output
- total magnetization (μB/f.u.) = 0.000
- formation enthalpy at 0 K (eV per atom) = -0.031

Cell lengths 5.791, 5.791, 5.791 Å; angles 60.00, 60.00, 60.00 degrees
Sites, in units of the cell vectors:
Nd 0.750 0.750 0.750
Sr 0.500 0.500 0.500
Tl 0.000 0.000 0.000
La 0.250 0.250 0.250

Computed, not measured: a relaxed SrLaNdY crystal at the GGA-PBE level of DFT.

Output
- total magnetization (μB/f.u.) = 0.001
- formation enthalpy at 0 K (eV per atom) = 0.194

Cell lengths 6.015, 6.015, 6.015 Å; angles 60.00, 60.00, 60.00 degrees
Sites, in units of the cell vectors:
Y 0.750 0.750 0.750
Sr 0.250 0.250 0.250
La 0.000 0.000 0.000
Nd 0.500 0.500 0.500

Computed, not measured: a relaxed LaTb3Nd4 crystal at the GGA-PBE level of DFT.

Output
- total magnetization (μB/f.u.) = 0.000
- E above lowest polymorph (meV/atom) = 0.0
- formation enthalpy at 0 K (eV per atom) = 0.014

Cell lengths 7.295, 7.281, 10.302 Å; angles 90.00, 90.00, 90.00 degrees
Sites, in units of the cell vectors:
Tb 0.247 0.061 0.750
La 0.500 0.811 0.000
Nd 0.247 0.561 0.750
Nd 0.500 0.810 0.500
Tb 0.000 0.311 0.000
La 0.500 0.311 0.500
Tb 0.753 0.561 0.250
Nd 0.753 0.061 0.750
Tb 0.000 0.811 0.500
Nd 0.247 0.561 0.250
Tb 0.753 0.561 0.750
Nd 0.500 0.310 0.000
Tb 0.247 0.061 0.250
Nd 0.000 0.811 0.000
Nd 0.000 0.311 0.500
Nd 0.753 0.061 0.250

Computed, not measured: a relaxed La4TbNd8 crystal at the GGA-PBE level of DFT.

Output
- total magnetization (μB/f.u.) = 0.000
- formation enthalpy at 0 K (eV per atom) = 0.361

Cell lengths 11.913, 11.913, 7.926 Å; angles 90.00, 138.72, 120.00 degrees
Sites, in units of the cell vectors:
Tb 0.000 0.500 0.500
Nd 0.832 0.163 0.995
La 0.000 0.500 0.000
Nd 0.168 0.332 0.005
Nd 0.673 0.837 0.005
Nd 0.327 0.163 0.995
Nd 0.519 0.760 0.279
La 0.500 0.000 0.000
Nd 0.481 0.240 0.721
La 0.500 0.500 0.000
Nd 0.168 0.837 0.005
La 0.000 0.000 0.000
Nd 0.832 0.668 0.995

Number 1: V 537.96 Å³/cell. Number 2: V 418.72 Å³/cell. Number 3: V 137.30 Å³/cell. Number 4: V 153.85 Å³/cell. Number 5: V 547.24 Å³/cell. Number 6: V 484.08 Å³/cell.